[1]
# HfTiBe3 PBE optimized geometry
data_HfTiBe3
_chemical_formula_sum 'Hf1 Ti1 Be3'
_symmetry_space_group_name_H-M 'P 1'
_symmetry_Int_Tables_number 1
_cell_length_a 4.208
_cell_length_b 4.208
_cell_length_c 4.208
_cell_angle_alpha 90.00
_cell_angle_beta 90.00
_cell_angle_gamma 90.00
loop_
_symmetry_equiv_pos_as_xyz
'x,y,z'
loop_
_atom_site_label
_atom_site_type_symbol
_atom_site_fract_x
_atom_site_fract_y
_atom_site_fract_z
Be1 Be 0.000 0.500 0.000
Be2 Be 0.000 0.000 0.500
Be3 Be 0.500 0.000 0.000
Hf1 Hf 0.500 0.500 0.500
Ti1 Ti 0.000 0.000 0.000
# Formation energy in kJ/mol of formula units: 448
# D(E_F) in states/eV per cell: 1.72
# Theoretical density in g/cm3: 5.6
# M_tot in μB per cell: 2.0
# Energy relative to the lowest polymorph listed for this composition in meV/atom: 0


[2]
# HfPd8Pt2 PBE optimized geometry
data_HfPd8Pt2
_chemical_formula_sum 'Hf1 Pd8 Pt2'
_symmetry_space_group_name_H-M 'P 1'
_symmetry_Int_Tables_number 1
_cell_length_a 4.703
_cell_length_b 6.729
_cell_length_c 6.729
_cell_angle_alpha 84.04
_cell_angle_beta 78.79
_cell_angle_gamma 78.79
loop_
_symmetry_equiv_pos_as_xyz
'x,y,z'
loop_
_atom_site_label
_atom_site_type_symbol
_atom_site_fract_x
_atom_site_fract_y
_atom_site_fract_z
Hf1 Hf 0.000 0.000 0.000
Pd1 Pd 0.790 0.166 0.669
Pd2 Pd 0.210 0.331 0.834
Pd3 Pd 0.877 0.276 0.276
Pd4 Pd 0.123 0.724 0.724
Pd5 Pd 0.790 0.669 0.166
Pd6 Pd 0.210 0.834 0.331
Pd7 Pd 0.292 0.424 0.424
Pd8 Pd 0.708 0.576 0.576
Pt1 Pt 0.450 0.148 0.148
Pt2 Pt 0.550 0.852 0.852
# Formation energy in kJ/mol of formula units: 51
# D(E_F) in states/eV per cell: 15.65
# Theoretical density in g/cm3: 11.5
# M_tot in μB per cell: 0.0
# Energy relative to the lowest polymorph listed for this composition in meV/atom: 340


[3]
# Tb2PrHo4Tm PBE optimized geometry
data_Tb2PrHo4Tm
_chemical_formula_sum 'Tb4 Pr2 Ho8 Tm2'
_symmetry_space_group_name_H-M 'P 1'
_symmetry_Int_Tables_number 1
_cell_length_a 12.267
_cell_length_b 7.105
_cell_length_c 12.276
_cell_angle_alpha 125.36
_cell_angle_beta 131.70
_cell_angle_gamma 89.96
loop_
_symmetry_equiv_pos_as_xyz
'x,y,z'
loop_
_atom_site_label
_atom_site_type_symbol
_atom_site_fract_x
_atom_site_fract_y
_atom_site_fract_z
Tb1 Tb 0.500 0.000 0.000
Tb2 Tb 0.500 0.000 0.500
Tb3 Tb 0.000 0.000 0.500
Tb4 Tb 0.500 0.500 0.000
Pr1 Pr 0.000 0.500 0.000
Pr2 Pr 0.000 0.500 0.500
Ho1 Ho 0.252 0.754 0.003
Ho2 Ho 0.748 0.250 0.499
Ho3 Ho 0.252 0.750 0.501
Ho4 Ho 0.748 0.246 0.997
Ho5 Ho 0.748 0.748 0.997
Ho6 Ho 0.748 0.748 0.499
Ho7 Ho 0.252 0.252 0.501
Ho8 Ho 0.252 0.252 0.003
Tm1 Tm 0.500 0.500 0.500
Tm2 Tm 0.000 0.000 0.000
# Formation energy in kJ/mol of formula units: 14
# D(E_F) in states/eV per cell: 20.11
# Theoretical density in g/cm3: 8.5
# M_tot in μB per cell: 0.0


[4]
# AgAsF2 PBE optimized geometry
data_AgAsF2
_chemical_formula_sum 'Ag1 As1 F2'
_symmetry_space_group_name_H-M 'P 1'
_symmetry_Int_Tables_number 1
_cell_length_a 8.245
_cell_length_b 8.245
_cell_length_c 8.245
_cell_angle_alpha 20.92
_cell_angle_beta 20.92
_cell_angle_gamma 20.92
loop_
_symmetry_equiv_pos_as_xyz
'x,y,z'
loop_
_atom_site_label
_atom_site_type_symbol
_atom_site_fract_x
_atom_site_fract_y
_atom_site_fract_z
As1 As 0.000 0.000 0.000
Ag1 Ag 0.500 0.500 0.500
F1 F 0.920 0.920 0.920
F2 F 0.080 0.080 0.080
# D(E_F) in states/eV per cell: 0.90
# Theoretical density in g/cm3: 5.9
# M_tot in μB per cell: 0.0
# Energy relative to the lowest polymorph listed for this composition in meV/atom: 0


[5]
# Pr2PaCd PBE optimized geometry
data_Pr2PaCd
_chemical_formula_sum 'Pr2 Pa1 Cd1'
_symmetry_space_group_name_H-M 'P 1'
_symmetry_Int_Tables_number 1
_cell_length_a 3.497
_cell_length_b 3.497
_cell_length_c 9.583
_cell_angle_alpha 90.00
_cell_angle_beta 90.00
_cell_angle_gamma 90.00
loop_
_symmetry_equiv_pos_as_xyz
'x,y,z'
loop_
_atom_site_label
_atom_site_type_symbol
_atom_site_fract_x
_atom_site_fract_y
_atom_site_fract_z
Pr1 Pr 0.000 0.000 0.757
Pr2 Pr 0.000 0.000 0.243
Pa1 Pa 0.500 0.500 0.500
Cd1 Cd 0.500 0.500 0.000
# Formation energy in kJ/mol of formula units: 2
# D(E_F) in states/eV per cell: 4.47
# Theoretical density in g/cm3: 8.9
# M_tot in μB per cell: 0.0
# Energy relative to the lowest polymorph listed for this composition in meV/atom: 0


[6]
# Ho2Ga8Au PBE optimized geometry
data_Ho2Ga8Au
_chemical_formula_sum 'Ho2 Ga8 Au1'
_symmetry_space_group_name_H-M 'P 1'
_symmetry_Int_Tables_number 1
_cell_length_a 4.378
_cell_length_b 4.378
_cell_length_c 11.213
_cell_angle_alpha 90.00
_cell_angle_beta 90.00
_cell_angle_gamma 90.00
loop_
_symmetry_equiv_pos_as_xyz
'x,y,z'
loop_
_atom_site_label
_atom_site_type_symbol
_atom_site_fract_x
_atom_site_fract_y
_atom_site_fract_z
Ho1 Ho 0.000 0.000 0.313
Ho2 Ho 0.000 0.000 0.687
Ga1 Ga 0.000 0.500 0.500
Ga2 Ga 0.500 0.000 0.500
Ga3 Ga 0.500 0.500 0.310
Ga4 Ga 0.500 0.500 0.690
Ga5 Ga 0.000 0.500 0.135
Ga6 Ga 0.500 0.000 0.135
Ga7 Ga 0.000 0.500 0.865
Ga8 Ga 0.500 0.000 0.865
Au1 Au 0.000 0.000 0.000
# Formation energy in kJ/mol of formula units: -440
# D(E_F) in states/eV per cell: 3.78
# Theoretical density in g/cm3: 8.4
# M_tot in μB per cell: 0.0


[7]
# AcHfTiIr2 PBE optimized geometry
data_AcHfTiIr2
_chemical_formula_sum 'Ac1 Hf1 Ti1 Ir2'
_symmetry_space_group_name_H-M 'P 1'
_symmetry_Int_Tables_number 1
_cell_length_a 4.441
_cell_length_b 4.441
_cell_length_c 6.429
_cell_angle_alpha 110.21
_cell_angle_beta 110.21
_cell_angle_gamma 90.00
loop_
_symmetry_equiv_pos_as_xyz
'x,y,z'
loop_
_atom_site_label
_atom_site_type_symbol
_atom_site_fract_x
_atom_site_fract_y
_atom_site_fract_z
Ac1 Ac 0.000 0.000 0.000
Hf1 Hf 0.750 0.250 0.500
Ti1 Ti 0.250 0.750 0.500
Ir1 Ir 0.623 0.623 0.246
Ir2 Ir 0.377 0.377 0.754
# Formation energy in kJ/mol of formula units: -379
# D(E_F) in states/eV per cell: 4.51
# Theoretical density in g/cm3: 12.6
# M_tot in μB per cell: 0.0


[8]
# PmPaCuAu PBE optimized geometry
data_PmPaCuAu
_chemical_formula_sum 'Pm1 Pa1 Cu1 Au1'
_symmetry_space_group_name_H-M 'P 1'
_symmetry_Int_Tables_number 1
_cell_length_a 5.073
_cell_length_b 5.073
_cell_length_c 5.073
_cell_angle_alpha 60.00
_cell_angle_beta 60.00
_cell_angle_gamma 60.00
loop_
_symmetry_equiv_pos_as_xyz
'x,y,z'
loop_
_atom_site_label
_atom_site_type_symbol
_atom_site_fract_x
_atom_site_fract_y
_atom_site_fract_z
Pa1 Pa 0.000 0.000 0.000
Au1 Au 0.250 0.250 0.250
Cu1 Cu 0.750 0.750 0.750
Pm1 Pm 0.500 0.500 0.500
# Formation energy in kJ/mol of formula units: -47
# D(E_F) in states/eV per cell: 6.73
# Theoretical density in g/cm3: 11.4
# M_tot in μB per cell: 1.1